VASP calculation (meta-GGA SCAN) on a crystal of TaAgP2 relaxed with PBEsol.

Summary:
ΔE_f: 0.40 eV per atom
Uncorrected energy: -29.28 eV per atom
Magnetic moment: 0.00 μB/atom

Unit cell a=2.8221 b=2.8221 c=30.1230 alpha=90.00 beta=90.00 gamma=120.00
Space group R3m (No. 160, hexagonal axes)
Unique sites:
Ta: 0.0000 0.0000 0.0000 x3
Ag: 0.0000 0.0000 0.7480 x3
P: 0.0000 0.0000 0.2645 x3
P: 0.0000 0.0000 0.4870 x3